No. 1
Material: YLuSe3
Method: DFT, SCAN
State: PBEsol geometry

Output
Energy relative to the elements, uncorrected = -1.32 eV/atom
Total moment = 0.00 μB per cell

a b c (Å): 5.1745 5.1745 5.1745
angles (deg): 90.00 90.00 90.00
Closest atoms and distances in Å follow each position.
Space group Pm-3m (No. 221)
Symmetry-distinct sites (fractional):
Y  0.0000  0.0000  0.0000 x1  12 Se 3.66
Lu  0.5000  0.5000  0.5000 x1  6 Se 2.59
Se  0.0000  0.5000  0.5000 x3  2 Lu 2.59

---

No. 2
Material: SiRu2Rh
Method: DFT, SCAN
State: PBEsol geometry

Output
Energy relative to the elements, uncorrected = -0.34 eV/atom
DOS(E_F) = 0.694 states/eV per atom
Total moment = 0.00 μB per cell

a b c (Å): 2.8061 4.2389 8.8152
angles (deg): 90.00 90.00 90.00
Closest atoms and distances in Å follow each position.
Space group Immm (No. 71)
Symmetry-distinct sites (fractional):
Si  0.0000  0.0000  0.0000 x2  4 Ru 2.37, 4 Rh 2.54
Ru  0.0000  0.5000  0.2835 x4  2 Si 2.37, 4 Ru 2.61
Rh  0.0000  0.0000  0.5000 x2  4 Si 2.54, 2 Rh 2.81

---

No. 3
Material: Sc2BeTl
Method: DFT, SCAN
State: PBEsol geometry

Output
Formation enthalpy at 0 K = -0.21 eV per atom
DOS(E_F) = 0.793 states/eV per atom
Total moment = 0.00 μB per cell

a b c (Å): 6.7489 6.7489 6.7489
angles (deg): 90.00 90.00 90.00
Closest atoms and distances in Å follow each position.
Space group Fm-3m (No. 225)
Symmetry-distinct sites (fractional):
Sc  0.2500  0.2500  0.2500 x8  4 Tl 2.92, 4 Be 2.92
Be  0.0000  0.0000  0.0000 x4  8 Sc 2.92
Tl  0.0000  0.0000  0.5000 x4  8 Sc 2.92

---

No. 4
Material: SmSnPd
Method: DFT, SCAN
State: PBEsol geometry

Output
Formation enthalpy at 0 K = -1.04 eV per atom
DOS(E_F) = 0.540 states/eV per atom
Total moment = 0.00 μB per cell

a b c (Å): 7.2748 4.6204 7.8910
angles (deg): 90.00 90.00 90.00
Closest atoms and distances in Å follow each position.
Space group Pnma (No. 62)
Symmetry-distinct sites (fractional):
Sm  0.0109  0.2500  0.2020 x4  6 Pd 3.07-3.40, 6 Sn 3.20-3.31
Sn  0.1885  0.2500  0.5869 x4  4 Pd 2.68-2.85
Pd  0.2033  0.7500  0.4151 x4  4 Sn 2.68-2.85

---

No. 5
Material: SrAg4
Method: DFT, SCAN
State: PBEsol geometry

Output
Formation enthalpy at 0 K = -0.13 eV per atom
DOS(E_F) = 0.345 states/eV per atom
Total moment = 0.00 μB per cell

a b c (Å): 9.5827 9.5827 9.5827
angles (deg): 90.00 90.00 90.00
Closest atoms and distances in Å follow each position.
Space group I-43m (No. 217)
Symmetry-distinct sites (fractional):
Sr  0.2165  0.2165  0.2165 x8  4 Ag 3.00-3.22
Ag  0.0000  0.0000  0.3545 x12  7 Ag 2.77-2.79
Ag  0.0000  0.2500  0.5000 x12  4 Ag 2.77
Ag  0.1025  0.1025  0.8975 x8  6 Ag 2.78-2.79, 1 Sr 3.00

---

No. 6
Material: Re2TcAg
Method: DFT, SCAN
State: PBEsol geometry

Output
Formation enthalpy at 0 K = 0.67 eV per atom
DOS(E_F) = 0.906 states/eV per atom
Total moment = 0.00 μB per cell

a b c (Å): 3.2701 3.2701 5.6870
angles (deg): 90.00 90.00 90.00
Closest atoms and distances in Å follow each position.
Space group P4/mmm (No. 123)
Symmetry-distinct sites (fractional):
Re  0.0000  0.0000  0.2212 x2  1 Re 2.52, 4 Tc 2.63, 4 Ag 2.80
Tc  0.5000  0.5000  0.0000 x1  8 Re 2.63, 2 Ag 2.84
Ag  0.5000  0.5000  0.5000 x1  8 Re 2.80, 2 Tc 2.84

---

No. 7
Material: Sb2TeRhPb
Method: DFT, SCAN
State: PBEsol geometry

Output
Energy relative to the elements, uncorrected = 1.50 eV/atom
DOS(E_F) = 1.240 states/eV per atom
Total moment = 1.84 μB per cell

a b c (Å): 5.5459 5.5459 5.6437
angles (deg): 90.00 90.00 90.00
Closest atoms and distances in Å follow each position.
Space group P4/mmm (No. 123)
Symmetry-distinct sites (fractional):
Sb  0.0000  0.5000  0.0000 x2  2 Pb 2.77
Te  0.0000  0.0000  0.5000 x1  2 Pb 2.82
Rh  0.5000  0.5000  0.5000 x1  4 Te 3.92, 8 Sb 3.96
Pb  0.0000  0.0000  0.0000 x1  4 Sb 2.77, 2 Te 2.82

---

No. 8
Material: Co6NiIr
Method: DFT, SCAN
State: PBEsol geometry

Output
Formation enthalpy at 0 K = 0.02 eV per atom
DOS(E_F) = 0.723 states/eV per atom
Total moment = 102.68 μB per cell

a b c (Å): 7.0243 9.9515 9.9398
angles (deg): 90.00 90.00 90.00
Closest atoms and distances in Å follow each position.
Space group Cmmm (No. 65)
Symmetry-distinct sites (fractional):
Co  0.0000  0.0000  0.0000 x2  4 Ni 2.45-2.51, 8 Co 2.46
Co  0.0000  0.0000  0.5000 x2  8 Co 2.47, 2 Ir 2.50, 2 Ni 2.52
Co  0.0000  0.2470  0.2452 x8  8 Co 2.43-2.54, 2 Ni 2.44-2.46, 2 Ir 2.52-2.53
Co  0.0000  0.5000  0.0000 x2  2 Ir 2.46, 2 Ni 2.47, 8 Co 2.50
Co  0.0000  0.5000  0.5000 x2  4 Ir 2.48-2.51, 8 Co 2.51
Co  0.2454  0.1269  0.1220 x16  8 Co 2.42-2.53, 3 Ni 2.45-2.47, 1 Ir 2.52
Co  0.2458  0.1234  0.3722 x16  8 Co 2.46-2.54, 1 Ni 2.46, 3 Ir 2.49-2.52
Ni  0.0000  0.0000  0.2468 x4  12 Co 2.45-2.52
Ni  0.0000  0.2519  0.0000 x4  12 Co 2.44-2.51
Ir  0.0000  0.2510  0.5000 x4  12 Co 2.48-2.53
Ir  0.0000  0.5000  0.2478 x4  12 Co 2.46-2.52

---

No. 9
Material: Nb3AuN
Method: DFT, SCAN
State: PBEsol geometry

Output
Energy relative to the elements, uncorrected = -0.62 eV/atom
DOS(E_F) = 0.807 states/eV per atom
Total moment = 0.00 μB per cell

a b c (Å): 4.2302 4.2302 4.2302
angles (deg): 90.00 90.00 90.00
Closest atoms and distances in Å follow each position.
Space group Pm-3m (No. 221)
Symmetry-distinct sites (fractional):
Nb  0.0000  0.0000  0.5000 x3  2 N 2.12
Au  0.5000  0.5000  0.5000 x1  12 Nb 2.99
N  0.0000  0.0000  0.0000 x1  6 Nb 2.12

---

No. 10
Material: KBeCdGa2
Method: DFT, SCAN
State: PBEsol geometry

Output
Formation enthalpy at 0 K = 0.86 eV per atom
DOS(E_F) = 0.478 states/eV per atom
Total moment = 0.00 μB per cell

a b c (Å): 5.0514 5.0514 6.0935
angles (deg): 90.00 90.00 90.00
Closest atoms and distances in Å follow each position.
Space group P4/mmm (No. 123)
Symmetry-distinct sites (fractional):
K  0.0000  0.0000  0.0000 x1  2 Cd 3.05
Be  0.5000  0.5000  0.0000 x1  4 K 3.57, 8 Ga 3.96
Cd  0.0000  0.0000  0.5000 x1  4 Ga 2.53
Ga  0.0000  0.5000  0.5000 x2  2 Cd 2.53

---

No. 11
Material: HRu2Pt
Method: DFT, SCAN
State: PBEsol geometry

Output
DFT total energy = -561.706 eV per cell
DOS(E_F) = 1.250 states/eV per atom
Total moment = 0.00 μB per cell

a b c (Å): 5.8329 5.8329 5.8329
angles (deg): 90.00 90.00 90.00
Closest atoms and distances in Å follow each position.
Space group Fm-3m (No. 225)
Symmetry-distinct sites (fractional):
H  0.0000  0.0000  0.0000 x4  8 Ru 2.53
Ru  0.2500  0.2500  0.2500 x8  4 H 2.53, 4 Pt 2.53
Pt  0.0000  0.0000  0.5000 x4  8 Ru 2.53

---

No. 12
Material: BeAsH3
Method: DFT, SCAN
State: PBEsol geometry

Output
DFT total energy = -31.129 eV per cell
DOS(E_F) = 0.340 states/eV per atom
Total moment = 0.00 μB per cell

a b c (Å): 3.3125 3.3125 3.3125
angles (deg): 90.00 90.00 90.00
Closest atoms and distances in Å follow each position.
Space group Pm-3m (No. 221)
Symmetry-distinct sites (fractional):
Be  0.0000  0.0000  0.0000 x1  6 H 1.66
As  0.5000  0.5000  0.5000 x1  12 H 2.34
H  0.0000  0.0000  0.5000 x3  2 Be 1.66